i) Crystalline CuAgHAu2 at its relaxed geometry. Source: Alexandria via LeMat-Bulk, functional PBE.

## Properties
Mass density, g cm⁻³: 13.48
Space group: P4/mmm (123)

Cell and atoms, written as extended XYZ:
```
5
Lattice="4.2447 0.0000 0.0000 0.0000 4.2447 0.0000 0.0000 0.0000 3.8708" Properties=species:S:1:pos:R:3 pbc="T T T"
Cu 0.0000 0.0000 0.0000
Ag 2.1224 2.1224 0.0000
H 0.0000 0.0000 1.9354
Au 0.0000 2.1224 1.9354
Au 2.1224 0.0000 1.9354
```

=====

ii) Crystalline CuAgHAu2 at its relaxed geometry. Source: Alexandria via LeMat-Bulk, functional PBE.

## Properties
Mass density, g cm⁻³: 13.29
Space group: P4/mmm (123)

Cell and atoms, written as extended XYZ:
```
5
Lattice="4.1278 0.0000 0.0000 0.0000 4.1278 0.0000 0.0000 0.0000 4.1523" Properties=species:S:1:pos:R:3 pbc="T T T"
Cu 0.0000 0.0000 0.0000
Ag 2.0639 2.0639 0.0000
H 2.0639 2.0639 2.0762
Au 0.0000 2.0639 2.0762
Au 2.0639 0.0000 2.0762
```

=====

i) is preferred energetically. Next in line: 5.7 kJ/mol of atoms higher.

=====

i) Crystalline CuAgPtAu at its relaxed geometry. Source: Alexandria via LeMat-Bulk, functional PBE.

## Properties
Mass density, g cm⁻³: 14.73
Space group: P4mm (99)

Cell and atoms, written as extended XYZ:
```
4
Lattice="2.8525 0.0000 0.0000 0.0000 2.8525 0.0000 0.0000 0.0000 7.8073" Properties=species:S:1:pos:R:3 pbc="T T T"
Cu 0.0000 0.0000 0.0000
Ag 0.0000 0.0000 4.0250
Pt 1.4263 1.4263 6.1052
Au 1.4263 1.4263 1.8404
```

=====

ii) Crystalline CuAgPtAu at its relaxed geometry. Source: Alexandria via LeMat-Bulk, functional PBE.

## Properties
Mass density, g cm⁻³: 14.50
Space group: F-43m (216)

Cell and atoms, written as extended XYZ:
```
4
Lattice="0.0000 3.1832 3.1832 3.1832 0.0000 3.1832 3.1832 3.1832 0.0000" Properties=species:S:1:pos:R:3 pbc="T T T"
Cu 0.0000 0.0000 0.0000
Ag 1.5916 1.5916 1.5916
Pt 4.7747 4.7747 4.7747
Au 3.1832 3.1832 3.1832
```

=====

i) is preferred energetically. Next in line: 10.5 kJ/mol of atoms higher.

=====

i) Crystalline Dy4AgAu2 at its relaxed geometry. Source: Alexandria via LeMat-Bulk, functional PBE.

## Properties
Mass density, g cm⁻³: 10.51
Space group: R-3m (166)

Cell and atoms, written as extended XYZ:
```
7
Lattice="2.5191 1.4544 8.2822 -2.5191 1.4544 8.2822 0.0000 -2.9088 8.2822" Properties=species:S:1:pos:R:3 pbc="T T T"
Dy 0.0000 0.0000 3.0536
Dy 0.0000 0.0000 9.2842
Dy 0.0000 0.0000 15.5622
Dy 0.0000 0.0000 21.7929
Ag 0.0000 0.0000 12.4232
Au 0.0000 0.0000 6.3030
Au 0.0000 0.0000 18.5435
```

=====

ii) Crystalline Dy4AgAu2 at its relaxed geometry. Source: Alexandria via LeMat-Bulk, functional PBE.

## Properties
Mass density, g cm⁻³: 9.94
Space group: R-3m (166)

Cell and atoms, written as extended XYZ:
```
7
Lattice="2.4145 1.3940 9.5293 -2.4145 1.3940 9.5293 0.0000 -2.7881 9.5293" Properties=species:S:1:pos:R:3 pbc="T T T"
Dy 0.0000 0.0000 3.3585
Dy 0.0000 0.0000 8.4893
Dy 0.0000 0.0000 20.0987
Dy 0.0000 0.0000 25.2295
Ag 0.0000 0.0000 14.2940
Au 0.0000 0.0000 11.4608
Au 0.0000 0.0000 17.1271
```

=====

i) is preferred energetically. Next in line: 10.3 kJ/mol of atoms higher.

=====

i) Crystalline Dy3AgAu at its relaxed geometry. Source: Alexandria via LeMat-Bulk, functional PBE.

## Properties
Mass density, g cm⁻³: 9.61
Space group: C2/c (15)

Cell and atoms, written as extended XYZ:
```
20
Lattice="7.5565 -5.2051 0.0000 7.5565 5.2051 0.0000 -1.2059 0.0000 6.9591" Properties=species:S:1:pos:R:3 pbc="T T T"
Dy 2.4307 1.3194 0.1806
Dy 5.7748 3.2110 3.5981
Dy 7.5293 3.2110 6.8406
Dy 1.8278 -1.3194 3.6602
Dy 4.6067 0.1854 6.5457
Dy 5.2097 -0.1854 3.0662
Dy 8.6974 0.1854 3.8929
Dy 9.3004 -0.1854 0.4134
Dy 12.0793 1.3194 3.2989
Dy 6.3778 -3.2110 0.1185
Dy 8.1323 -3.2110 3.3610
Dy 11.4764 -1.3194 6.7785
Ag 3.2082 1.7453 4.6107
Ag 3.8111 -1.7453 1.1311
Ag 10.0960 1.7453 5.8280
Ag 10.6989 -1.7453 2.3485
Au 7.2550 4.9652 1.7398
Au 7.2550 1.5296 1.7398
Au 6.6521 -1.5296 5.2193
Au 6.6521 -4.9652 5.2193
```

=====

ii) Crystalline Dy3AgAu at its relaxed geometry. Source: Alexandria via LeMat-Bulk, functional PBE.

## Properties
Mass density, g cm⁻³: 10.38
Space group: Cmcm (63)

Cell and atoms, written as extended XYZ:
```
10
Lattice="2.5372 -9.8446 0.0000 2.5372 9.8446 0.0000 0.0000 0.0000 5.0749" Properties=species:S:1:pos:R:3 pbc="T T T"
Dy 2.5372 8.5863 3.8062
Dy 2.5372 4.9294 3.8062
Dy 2.5372 1.2869 3.8062
Dy 2.5372 -1.2869 1.2687
Dy 2.5372 -4.9294 1.2687
Dy 2.5372 -8.5863 1.2687
Ag 2.5372 6.7518 1.2687
Ag 2.5372 -6.7518 3.8062
Au 2.5372 3.1593 1.2687
Au 2.5372 -3.1593 3.8062
```

=====

ii) is preferred energetically. Next in line: 12.1 kJ/mol of atoms higher.

=====

i) Crystalline DyAg2Au at its relaxed geometry. Source: Alexandria via LeMat-Bulk, functional PBE.

## Properties
Mass density, g cm⁻³: 11.14
Space group: P2_1/m (11)

Cell and atoms, written as extended XYZ:
```
8
Lattice="4.2121 0.0000 0.0000 0.0000 8.0540 0.0000 -2.1015 0.0000 5.0543" Properties=species:S:1:pos:R:3 pbc="T T T"
Dy 0.0026 2.0135 0.6230
Dy 2.1079 6.0405 4.4313
Ag 0.0046 0.4488 3.7349
Ag 0.0046 3.5782 3.7349
Ag 2.1059 4.4758 1.3194
Ag 2.1059 7.6052 1.3194
Au -0.0005 6.0405 2.3568
Au 2.1110 2.0135 2.6975
```

=====

ii) Crystalline DyAg2Au at its relaxed geometry. Source: Alexandria via LeMat-Bulk, functional PBE.

## Properties
Mass density, g cm⁻³: 11.72
Space group: Fm-3m (225)

Cell and atoms, written as extended XYZ:
```
4
Lattice="0.0000 3.4415 3.4415 3.4415 0.0000 3.4415 3.4415 3.4415 0.0000" Properties=species:S:1:pos:R:3 pbc="T T T"
Dy 0.0000 0.0000 0.0000
Ag 1.7208 1.7208 1.7208
Ag 5.1623 5.1623 5.1623
Au 3.4415 3.4415 3.4415
```

=====

iii) Crystalline DyAg2Au at its relaxed geometry. Source: Alexandria via LeMat-Bulk, functional PBE.

## Properties
Mass density, g cm⁻³: 11.34
Space group: P4/mmm (123)

Cell and atoms, written as extended XYZ:
```
4
Lattice="4.2184 0.0000 0.0000 0.0000 4.2184 0.0000 0.0000 0.0000 4.7337" Properties=species:S:1:pos:R:3 pbc="T T T"
Dy 0.0000 0.0000 0.0000
Ag 0.0000 2.1092 2.3669
Ag 2.1092 0.0000 2.3669
Au 2.1092 2.1092 0.0000
```

=====

i) is preferred energetically. Next in line: 5.5 kJ/mol of atoms higher.

=====

i) Crystalline Dy2AgAu2 at its relaxed geometry. Source: Alexandria via LeMat-Bulk, functional PBE.

## Properties
Mass density, g cm⁻³: 11.84
Space group: P4/mbm (127)

Cell and atoms, written as extended XYZ:
```
10
Lattice="7.9007 0.0000 0.0000 0.0000 7.9007 0.0000 0.0000 0.0000 3.7144" Properties=species:S:1:pos:R:3 pbc="T T T"
Dy 1.3367 2.6136 0.0000
Dy 2.6136 6.5639 0.0000
Dy 5.2871 1.3367 0.0000
Dy 6.5639 5.2871 0.0000
Ag 0.0000 0.0000 1.8572
Ag 3.9503 3.9503 1.8572
Au 1.0324 4.9827 1.8572
Au 2.9180 1.0324 1.8572
Au 4.9827 6.8683 1.8572
Au 6.8683 2.9180 1.8572
```

=====

ii) Crystalline Dy2AgAu2 at its relaxed geometry. Source: Alexandria via LeMat-Bulk, functional PBE.

## Properties
Mass density, g cm⁻³: 11.20
Space group: C2/c (15)

Cell and atoms, written as extended XYZ:
```
10
Lattice="8.3770 -1.9395 0.0000 8.3770 1.9395 0.0000 -1.7994 0.0000 7.5468" Properties=species:S:1:pos:R:3 pbc="T T T"
Dy 1.6807 0.0004 0.3989
Dy 0.7809 -0.0004 4.1723
Dy 14.1737 0.0004 3.3745
Dy 13.2740 -0.0004 7.1479
Ag 7.0274 0.0033 5.6601
Ag 7.9272 -0.0033 1.8867
Au 3.5134 0.0000 2.8299
Au 2.6137 0.0000 6.6033
Au 12.3409 0.0000 0.9435
Au 11.4412 0.0000 4.7169
```

=====

i) is preferred energetically. Next in line: 32.9 kJ/mol of atoms higher.